Material: SrAgAs2
Method: DFT, GGA-PBE
State: optimized geometry

a = 4.6238 Å, b = 4.6881 Å, c = 5.0314 Å
α = 90.00°, β = 99.84°, γ = 90.00°
Space group Pm (No. 6)
Unique sites:
1 Sr 0.0000 0.0000 0.0000
2 Ag 0.6117 0.5000 0.3569
3 As 0.4278 0.0000 0.5678
4 As 0.4602 0.5000 0.8436

## Properties
Total magnetization (μB/cell): 0.0
Total energy (eV for the cell shown): -15.391

---

Material: SrAg2As
Method: DFT, GGA-PBE
State: optimized geometry

a = 3.8539 Å, b = 4.7970 Å, c = 5.4999 Å
α = 90.00°, β = 90.24°, γ = 90.00°
Space group P2/m (No. 10)
Unique sites:
1 Sr 0.0000 0.0000 0.0000
2 Ag 0.4986 0.5000 0.7505
3 As 0.5000 0.0000 0.5000

## Properties
Total magnetization (μB/cell): 0.0
Total energy (eV for the cell shown): -13.140